YCr2Ni: optimized geometry, PBE.

Unit cell a=3.9860 b=3.9999 c=4.3828 alpha=90.00 beta=90.00 gamma=90.00
Space group Pmmm (No. 47)
One atom of each set of equivalent atoms:
Y1 0.0000 0.0000 0.0000
Cr1 0.0000 0.5000 0.5000
Cr2 0.5000 0.0000 0.5000
Ni1 0.5000 0.5000 0.0000

Output
E_tot (eV per atom): -7.41
Relative energy among the computed polymorphs (meV/atom): 258
ΔE_f (eV/atom): 0.467
Total magnetization (μB per formula unit): 7.5